Model P:
# SmHo2Th

An optimized crystal structure of SmHo2Th (GGA-PBE, Alexandria).

The total magnetic moment comes out at 0.00 Bohr magnetons per cell. As for the density: 9.22 g/cm³.

The space group is P4/mmm (No. 123) and the conventional cell measures 3.569, 3.569 and 10.069 Å, with angles of 90.00, 90.00 and 90.00 degrees. The distinct sites, in fractional coordinates, are Sm at (0.000, 0.000, 0.000), Ho at (0.500, 0.500, 0.257) and Th at (0.000, 0.000, 0.500).

Model Q:
# SmHo2Th

An optimized crystal structure of SmHo2Th (GGA-PBE, Alexandria).

The total magnetic moment comes out at 0.00 Bohr magnetons per cell. As for the density: 9.24 g/cm³.

The space group is R3m (No. 160, hexagonal axes) and the conventional cell measures 3.5885, 3.5885 and 34.4462 Å, with angles of 90.00, 90.00 and 120.00 degrees. The distinct sites, in fractional coordinates, are Sm at (0.0000, 0.0000, 0.0000), Ho at (0.0000, 0.0000, 0.5808), Ho at (0.0000, 0.0000, 0.7514) and Th at (0.0000, 0.0000, 0.1659).

Least stable of them? model P.

Model P:
# Sm2HoTh2

An optimized crystal structure of Sm2HoTh2 (GGA-PBE, Alexandria).

The total magnetic moment comes out at 0.00 Bohr magnetons per cell. As for the density: 8.93 g/cm³.

The space group is C2/c (No. 15) and the conventional cell measures 8.462, 16.361 and 6.172 Å, with angles of 90.00, 125.94 and 90.00 degrees. The distinct sites, in fractional coordinates, are Sm at (0.237, 0.072, 0.068), Ho at (0.000, 0.397, 0.250) and Th at (0.108, 0.220, 0.594).

Model Q:
# Sm2HoTh2

An optimized crystal structure of Sm2HoTh2 (GGA-PBE, Alexandria).

The total magnetic moment comes out at 0.00 Bohr magnetons per cell. As for the density: 9.02 g/cm³.

The space group is Fddd (No. 70, origin choice 2) and the conventional cell measures 3.486, 16.923 and 23.201 Å, with angles of 90.00, 90.00 and 90.00 degrees. The distinct sites, in fractional coordinates, are Sm at (0.125, 0.296, 0.125), Ho at (0.125, 0.125, 0.625) and Th at (0.000, 0.000, 0.500).

Least stable of them? model Q.

Model P:
# SmHoTh4

An optimized crystal structure of SmHoTh4 (GGA-PBE, Alexandria).

The total magnetic moment comes out at 0.00 Bohr magnetons per cell. As for the density: 10.01 g/cm³.

The space group is F-43m (No. 216) and the conventional cell measures 9.381, 9.381 and 9.381 Å, with angles of 90.00, 90.00 and 90.00 degrees. The distinct sites, in fractional coordinates, are Sm at (0.000, 0.000, 0.000), Ho at (0.250, 0.250, 0.750) and Th at (0.125, 0.125, 0.375).

Model Q:
# SmHoTh4

An optimized crystal structure of SmHoTh4 (GGA-PBE, Alexandria).

The total magnetic moment comes out at 0.00 Bohr magnetons per cell. As for the density: 10.64 g/cm³.

The space group is P4/mmm (No. 123) and the conventional cell measures 3.584, 3.584 and 15.106 Å, with angles of 90.00, 90.00 and 90.00 degrees. The distinct sites, in fractional coordinates, are Sm at (0.000, 0.000, 0.000), Ho at (0.500, 0.500, 0.500), Th at (0.000, 0.000, 0.334) and Th at (0.500, 0.500, 0.172).

Least stable of them? model P.

Model P:
# SmHo6Th

An optimized crystal structure of SmHo6Th (GGA-PBE, Alexandria).

The total magnetic moment comes out at 0.00 Bohr magnetons per cell. As for the density: 9.06 g/cm³.

The space group is P4/mmm (No. 123) and the conventional cell measures 5.015, 5.015 and 9.998 Å, with angles of 90.00, 90.00 and 90.00 degrees. The distinct sites, in fractional coordinates, are Sm at (0.000, 0.000, 0.000), Ho at (0.000, 0.500, 0.253), Ho at (0.500, 0.500, 0.000), Ho at (0.500, 0.500, 0.500) and Th at (0.000, 0.000, 0.500).

Model Q:
# SmHo6Th

An optimized crystal structure of SmHo6Th (GGA-PBE, Alexandria).

The total magnetic moment comes out at 0.00 Bohr magnetons per cell. As for the density: 8.90 g/cm³.

The space group is P-1 (No. 2) and the conventional cell measures 6.534, 6.721 and 6.793 Å, with angles of 61.50, 78.86 and 89.34 degrees. The distinct sites, in fractional coordinates, are Sm at (0.000, 0.000, 0.000), Ho at (0.233, 0.573, 0.519), Ho at (0.252, 0.543, 0.005), Ho at (0.270, 0.089, 0.483) and Th at (0.500, 0.000, 0.000).

Least stable of them? model Q.

Model P:
# Sm12Ho7Th

An optimized crystal structure of Sm12Ho7Th (GGA-PBE, Alexandria).

The total magnetic moment comes out at 0.00 Bohr magnetons per cell. As for the density: 7.70 g/cm³.

The space group is R-3 (No. 148, hexagonal axes) and the conventional cell measures 19.6388, 19.6388 and 6.1844 Å, with angles of 90.00, 90.00 and 120.00 degrees. The distinct sites, in fractional coordinates, are Sm at (0.0005, 0.4131, 0.0009), Sm at (0.0970, 0.5494, 0.4416), Ho at (0.0000, 0.0000, 0.0000), Ho at (0.0814, 0.9167, 0.2704) and Th at (0.0000, 0.0000, 0.5000).

Model Q:
# Sm12Ho7Th

An optimized crystal structure of Sm12Ho7Th (GGA-PBE, Alexandria).

The total magnetic moment comes out at 0.00 Bohr magnetons per cell. As for the density: 7.93 g/cm³.

The space group is R-3 (No. 148, hexagonal axes) and the conventional cell measures 12.3242, 12.3242 and 15.2399 Å, with angles of 90.00, 90.00 and 120.00 degrees. The distinct sites, in fractional coordinates, are Sm at (0.0168, 0.4416, 0.2049), Sm at (0.0566, 0.5877, 0.5896), Ho at (0.0000, 0.0000, 0.0000), Ho at (0.0439, 0.1839, 0.3045) and Th at (0.0000, 0.0000, 0.5000).

Least stable of them? model P.

Model P:
# Sm5Ho4Th

An optimized crystal structure of Sm5Ho4Th (GGA-PBE, Alexandria).

The total magnetic moment comes out at 0.00 Bohr magnetons per cell. As for the density: 8.18 g/cm³.

The space group is I4 (No. 79) and the conventional cell measures 10.222, 10.222 and 6.388 Å, with angles of 90.00, 90.00 and 90.00 degrees. The distinct sites, in fractional coordinates, are Sm at (0.000, 0.000, 0.000), Sm at (0.147, 0.231, 0.737), Ho at (0.046, 0.344, 0.242) and Th at (0.000, 0.000, 0.463).

Model Q:
# Sm5Ho4Th

An optimized crystal structure of Sm5Ho4Th (GGA-PBE, Alexandria).

The total magnetic moment comes out at 0.00 Bohr magnetons per cell. As for the density: 8.35 g/cm³.

The space group is C2/m (No. 12) and the conventional cell measures 16.981, 3.538 and 11.488 Å, with angles of 90.00, 108.68 and 90.00 degrees. The distinct sites, in fractional coordinates, are Sm at (0.000, 0.000, 0.000), Sm at (0.190, 0.500, 0.081), Sm at (0.204, 0.500, 0.612), Ho at (0.082, 0.500, 0.296), Ho at (0.105, 0.000, 0.798) and Th at (0.000, 0.000, 0.500).

Least stable of them? model P.

Model P:
# SmHo6Th3

An optimized crystal structure of SmHo6Th3 (GGA-PBE, Alexandria).

The total magnetic moment comes out at 0.00 Bohr magnetons per cell. As for the density: 9.51 g/cm³.

The space group is P2_1/m (No. 11) and the conventional cell measures 12.969, 3.505 and 14.316 Å, with angles of 90.00, 100.00 and 90.00 degrees. The distinct sites, in fractional coordinates, are Sm at (0.037, 0.250, 0.225), Ho at (0.126, 0.250, 0.987), Ho at (0.193, 0.750, 0.427), Ho at (0.220, 0.750, 0.785), Ho at (0.271, 0.750, 0.203), Ho at (0.347, 0.250, 0.619), Ho at (0.498, 0.250, 0.189), Th at (0.075, 0.250, 0.597), Th at (0.377, 0.750, 0.993) and Th at (0.423, 0.250, 0.403).

Model Q:
# SmHo6Th3

An optimized crystal structure of SmHo6Th3 (GGA-PBE, Alexandria).

The total magnetic moment comes out at 0.00 Bohr magnetons per cell. As for the density: 9.14 g/cm³.

The space group is R-3 (No. 148, hexagonal axes) and the conventional cell measures 9.8469, 9.8469 and 11.9200 Å, with angles of 90.00, 90.00 and 120.00 degrees. The distinct sites, in fractional coordinates, are Sm at (0.0000, 0.0000, 0.0000), Ho at (0.0011, 0.3315, 0.2515), Th at (0.0000, 0.0000, 0.2485) and Th at (0.0000, 0.0000, 0.5000).

Least stable of them? model Q.

Model P:
# Sm8Ho2Th

An optimized crystal structure of Sm8Ho2Th (GGA-PBE, Alexandria).

The total magnetic moment comes out at 0.00 Bohr magnetons per cell. As for the density: 8.03 g/cm³.

The space group is C2/m (No. 12) and the conventional cell measures 18.389, 5.099 and 8.072 Å, with angles of 90.00, 105.30 and 90.00 degrees. The distinct sites, in fractional coordinates, are Sm at (0.045, 0.000, 0.233), Sm at (0.091, 0.500, 0.953), Sm at (0.135, 0.000, 0.682), Sm at (0.180, 0.500, 0.410), Ho at (0.228, 0.000, 0.135) and Th at (0.000, 0.500, 0.500).

Model Q:
# Sm8Ho2Th

An optimized crystal structure of Sm8Ho2Th (GGA-PBE, Alexandria).

The total magnetic moment comes out at 0.00 Bohr magnetons per cell. As for the density: 7.75 g/cm³.

The space group is C2/m (No. 12) and the conventional cell measures 19.366, 6.930 and 5.649 Å, with angles of 90.00, 93.95 and 90.00 degrees. The distinct sites, in fractional coordinates, are Sm at (0.046, 0.000, 0.234), Sm at (0.131, 0.237, 0.727), Sm at (0.185, 0.500, 0.225), Ho at (0.217, 0.000, 0.255) and Th at (0.000, 0.500, 0.000).

Least stable of them? model Q.

Model P:
# SmHo6Th4

An optimized crystal structure of SmHo6Th4 (GGA-PBE, Alexandria).

The total magnetic moment comes out at 0.00 Bohr magnetons per cell. As for the density: 8.60 g/cm³.

The space group is I-42m (No. 121) and the conventional cell measures 7.899, 7.899 and 12.802 Å, with angles of 90.00, 90.00 and 90.00 degrees. The distinct sites, in fractional coordinates, are Sm at (0.000, 0.000, 0.000), Ho at (0.000, 0.500, 0.000), Ho at (0.237, 0.237, 0.684) and Th at (0.167, 0.167, 0.426).

Model Q:
# SmHo6Th4

An optimized crystal structure of SmHo6Th4 (GGA-PBE, Alexandria).

The total magnetic moment comes out at 0.00 Bohr magnetons per cell. As for the density: 9.60 g/cm³.

The space group is Immm (No. 71) and the conventional cell measures 3.427, 5.852 and 35.674 Å, with angles of 90.00, 90.00 and 90.00 degrees. The distinct sites, in fractional coordinates, are Sm at (0.000, 0.000, 0.000), Ho at (0.000, 0.500, 0.131), Ho at (0.000, 0.500, 0.233), Ho at (0.000, 0.500, 0.403), Th at (0.000, 0.000, 0.182) and Th at (0.000, 0.000, 0.456).

Least stable of them? model P.

Model P:
# Sm2Ho2Th3

An optimized crystal structure of Sm2Ho2Th3 (GGA-PBE, Alexandria).

The total magnetic moment comes out at 0.00 Bohr magnetons per cell. As for the density: 9.58 g/cm³.

The space group is Cmmm (No. 65) and the conventional cell measures 3.537, 36.700 and 3.542 Å, with angles of 90.00, 90.00 and 90.00 degrees. The distinct sites, in fractional coordinates, are Sm at (0.000, 0.208, 0.000), Ho at (0.000, 0.362, 0.500), Th at (0.000, 0.069, 0.000) and Th at (0.000, 0.500, 0.500).

Model Q:
# Sm2Ho2Th3

An optimized crystal structure of Sm2Ho2Th3 (GGA-PBE, Alexandria).

The total magnetic moment comes out at 0.00 Bohr magnetons per cell. As for the density: 9.60 g/cm³.

The space group is C2/m (No. 12) and the conventional cell measures 17.497, 3.475 and 8.507 Å, with angles of 90.00, 117.48 and 90.00 degrees. The distinct sites, in fractional coordinates, are Sm at (0.069, 0.000, 0.404), Ho at (0.150, 0.500, 0.840), Th at (0.000, 0.500, 0.000) and Th at (0.213, 0.500, 0.292).

Least stable of them? model Q.